# 1
Here is a PBEsol-optimized structure of SrMgH4 from Alexandria via LeMat-Bulk. Energies are from meta-GGA SCAN.

Output
The value obtained for the total magnetic moment is 0.0 μB per formula unit. For the mass density, the calculation gives 2.67 Mg/m³. As for the uncorrected energy: -88.051 eV per cell.

a = 6.920 Å, b = 6.920 Å, c = 5.524 Å
α = 90.00°, β = 90.00°, γ = 146.91°
Positions (direct):
Sr: 0.151 0.849 0.500
Sr: 0.849 0.151 0.000
Mg: 0.415 0.585 0.544
Mg: 0.585 0.415 0.044
H: 0.073 0.927 0.077
H: 0.298 0.702 0.751
H: 0.331 0.669 0.266
H: 0.458 0.542 0.891
H: 0.542 0.458 0.391
H: 0.669 0.331 0.766
H: 0.702 0.298 0.251
H: 0.927 0.073 0.577

=====

# 2
Here is a PBEsol-optimized structure of ScTaN2 from Alexandria via LeMat-Bulk. Energies are from meta-GGA SCAN.

Output
The uncorrected formation energy is -1.860 eV/atom. The value obtained for the total magnetic moment is 0.0 μB per formula unit. For the mass density, the calculation gives 9.96 Mg/m³. As for the uncorrected energy: -213.684 eV per cell.

a = 3.047 Å, b = 3.047 Å, c = 10.524 Å
α = 90.00°, β = 90.00°, γ = 120.00°
Positions (direct):
Sc: 0.000 0.000 0.000
Sc: 0.000 0.000 0.500
Ta: 0.333 0.667 0.250
Ta: 0.667 0.333 0.750
N: 0.333 0.667 0.625
N: 0.333 0.667 0.875
N: 0.667 0.333 0.125
N: 0.667 0.333 0.375

=====

# 3
Here is a PBEsol-optimized structure of BaMoSe3 from Alexandria via LeMat-Bulk. Energies are from meta-GGA SCAN.

Output
The uncorrected formation energy is 0.922 eV/atom. The value obtained for the total magnetic moment is 2.0 μB per formula unit. For the mass density, the calculation gives 3.94 Mg/m³. As for the uncorrected energy: -130.059 eV per cell.

a = 5.832 Å, b = 5.832 Å, c = 5.832 Å
α = 90.00°, β = 90.00°, γ = 90.00°
Positions (direct):
Ba: 0.000 0.000 0.000
Mo: 0.500 0.500 0.500
Se: 0.000 0.000 0.500
Se: 0.000 0.500 0.000
Se: 0.500 0.000 0.000

=====

# 4
Here is a PBEsol-optimized structure of KMn2Fe from Alexandria via LeMat-Bulk. Energies are from meta-GGA SCAN.

Output
The value obtained for the total magnetic moment is 11.0 μB per formula unit. Its distance to the lowest polymorph of the same formula is 0.506 eV/atom. The value obtained for the formation energy is 0.9976 eV per atom. For the mass density, the calculation gives 5.03 Mg/m³. As for the uncorrected energy: -58.978 eV per cell.

a = 4.942 Å, b = 4.942 Å, c = 2.768 Å
α = 90.00°, β = 90.00°, γ = 90.00°
Positions (direct):
K: 0.000 0.000 0.000
Mn: 0.000 0.500 0.500
Mn: 0.500 0.000 0.500
Fe: 0.500 0.500 0.000

=====

# 5
Here is a PBEsol-optimized structure of LiBi2Pt2 from Alexandria via LeMat-Bulk. Energies are from meta-GGA SCAN.

Output
The value obtained for the total magnetic moment is 0.0 μB per formula unit. The value obtained for the formation energy is -0.2425 eV per atom. For the mass density, the calculation gives 12.97 Mg/m³. As for the uncorrected energy: -602.296 eV per cell.

a = 7.424 Å, b = 7.424 Å, c = 3.787 Å
α = 90.00°, β = 90.00°, γ = 90.00°
Positions (direct):
Li: 0.000 0.000 0.000
Li: 0.500 0.500 0.000
Bi: 0.169 0.331 0.500
Bi: 0.331 0.831 0.500
Bi: 0.669 0.169 0.500
Bi: 0.831 0.669 0.500
Pt: 0.135 0.635 0.000
Pt: 0.365 0.135 0.000
Pt: 0.635 0.865 0.000
Pt: 0.865 0.365 0.000

=====

# 6
Here is a PBEsol-optimized structure of Hf2BiS from Alexandria via LeMat-Bulk. Energies are from meta-GGA SCAN.

Output
The uncorrected formation energy is -0.440 eV/atom. The value obtained for the total magnetic moment is 0.0 μB per formula unit. For the mass density, the calculation gives 12.60 Mg/m³. As for the uncorrected energy: -215.314 eV per cell.

a = 4.812 Å, b = 4.812 Å, c = 4.812 Å
α = 60.00°, β = 60.00°, γ = 60.00°
Positions (direct):
Hf: 0.250 0.250 0.250
Hf: 0.750 0.750 0.750
Bi: 0.000 0.000 0.000
S: 0.500 0.500 0.500

=====

Copy entry 1 word for word.
Here is a PBEsol-optimized structure of SrMgH4 from Alexandria via LeMat-Bulk. Energies are from meta-GGA SCAN.

Output
The value obtained for the total magnetic moment is 0.0 μB per formula unit. For the mass density, the calculation gives 2.67 Mg/m³. As for the uncorrected energy: -88.051 eV per cell.

a = 6.920 Å, b = 6.920 Å, c = 5.524 Å
α = 90.00°, β = 90.00°, γ = 146.91°
Positions (direct):
Sr: 0.151 0.849 0.500
Sr: 0.849 0.151 0.000
Mg: 0.415 0.585 0.544
Mg: 0.585 0.415 0.044
H: 0.073 0.927 0.077
H: 0.298 0.702 0.751
H: 0.331 0.669 0.266
H: 0.458 0.542 0.891
H: 0.542 0.458 0.391
H: 0.669 0.331 0.766
H: 0.702 0.298 0.251
H: 0.927 0.073 0.577

=====

Please write out number 6 again, unchanged.
Here is a PBEsol-optimized structure of Hf2BiS from Alexandria via LeMat-Bulk. Energies are from meta-GGA SCAN.

Output
The uncorrected formation energy is -0.440 eV/atom. The value obtained for the total magnetic moment is 0.0 μB per formula unit. For the mass density, the calculation gives 12.60 Mg/m³. As for the uncorrected energy: -215.314 eV per cell.

a = 4.812 Å, b = 4.812 Å, c = 4.812 Å
α = 60.00°, β = 60.00°, γ = 60.00°
Positions (direct):
Hf: 0.250 0.250 0.250
Hf: 0.750 0.750 0.750
Bi: 0.000 0.000 0.000
S: 0.500 0.500 0.500